LiP5W3O19: relaxed, GGA+U.

* symmetry: No. 8
* final energy: -0.5365 Ry per atom
* M_tot: 6.00 μB/cell

Cell and atoms, written as CIF:
```
data_LiP5W3O19
_chemical_formula_sum 'Li1 P5 W3 O19'
_cell_length_a 8.753
_cell_length_b 8.753
_cell_length_c 6.587
_cell_angle_alpha 80.40
_cell_angle_beta 80.40
_cell_angle_gamma 112.14
_space_group_name_H-M_alt 'P 1'
_space_group_IT_number 1
loop_
_space_group_symop_operation_xyz
'x,y,z'
loop_
_atom_site_label
_atom_site_type_symbol
_atom_site_fract_x
_atom_site_fract_y
_atom_site_fract_z
_atom_site_occupancy
O1 O 0.232 0.531 0.515 1
O2 O 0.505 0.711 0.221 1
O3 O 0.781 0.781 0.456 1
O4 O 0.695 0.166 0.874 1
O5 O 0.332 0.992 0.903 1
O6 O 0.711 0.505 0.221 1
O7 O 0.235 0.749 0.225 1
O8 O 0.502 0.681 0.733 1
P1 P 0.311 0.609 0.280 1
P2 P 0.609 0.311 0.280 1
O9 O 0.249 0.477 0.153 1
P3 P 0.820 0.189 0.013 1
O10 O 0.025 0.840 0.102 1
O11 O 0.477 0.249 0.153 1
O12 O 0.992 0.332 0.903 1
Li1 Li 0.993 0.993 0.298 1
O13 O 0.166 0.695 0.874 1
W1 W 0.246 0.500 0.830 1
O14 O 0.681 0.502 0.733 1
W2 W 0.758 0.758 0.149 1
P4 P 0.189 0.820 0.013 1
P5 P 0.678 0.678 0.693 1
O15 O 0.749 0.235 0.225 1
O16 O 0.782 0.782 0.834 1
O17 O 0.331 0.331 0.819 1
O18 O 0.531 0.232 0.515 1
W3 W 0.500 0.246 0.830 1
O19 O 0.840 0.025 0.102 1
```